A plane-wave DFT calculation with GGA-PBEsol was carried out for a relaxed La2Hg crystal.

Calculated values
Total energy   -4.113 eV/atom
Formation enthalpy at 0 K   -0.3598 eV per atom

abc: 3.816 17.125 5.565
angles: 90.00 90.00 90.00
Space group Cmcm (No. 63)
One atom of each set of equivalent atoms:
La 0.000 0.079 0.250 (multiplicity 4)
La 0.000 0.231 0.750 (multiplicity 4)
Hg 0.000 0.421 0.250 (multiplicity 4)

A plane-wave DFT calculation with GGA-PBEsol was carried out for a relaxed KInSi2 crystal.

Calculated values
Total energy   -3.567 eV/atom
Energy relative to the elements, uncorrected   0.336 eV per atom

abc: 4.996 4.996 18.679
angles: 90.00 90.00 90.00
Space group I4_1/amd (No. 141, origin choice 2)
One atom of each set of equivalent atoms:
K 0.000 0.250 0.375 (multiplicity 4)
In 0.000 0.250 0.875 (multiplicity 4)
Si 0.000 0.000 0.000 (multiplicity 8)

A plane-wave DFT calculation with GGA-PBEsol was carried out for a relaxed Ti6Co16Si7 crystal.

Calculated values
Total energy   -8.066 eV/atom
Energy relative to the elements, uncorrected   -0.689 eV per atom

abc: 10.972 10.972 10.972
angles: 90.00 90.00 90.00
Space group Fm-3m (No. 225)
One atom of each set of equivalent atoms:
Ti 0.000 0.000 0.201 (multiplicity 24)
Co 0.119 0.119 0.381 (multiplicity 32)
Co 0.167 0.167 0.167 (multiplicity 32)
Si 0.000 0.000 0.500 (multiplicity 4)
Si 0.000 0.250 0.250 (multiplicity 24)

A plane-wave DFT calculation with GGA-PBEsol was carried out for a relaxed BeSiW crystal.

Calculated values
Energy above the most stable polymorph in this dataset   0.000 eV per atom
Total energy   -7.843 eV/atom
Energy relative to the elements, uncorrected   0.008 eV per atom

abc: 2.738 3.287 8.176
angles: 90.00 90.00 90.00
Space group Imm2 (No. 44)
One atom of each set of equivalent atoms:
Be 0.000 0.000 0.000 (multiplicity 2)
Si 0.000 0.000 0.646 (multiplicity 2)
W 0.000 0.000 0.330 (multiplicity 2)

A plane-wave DFT calculation with GGA-PBEsol was carried out for a relaxed CrFe4Ru crystal.

Calculated values
Total energy   -9.272 eV/atom
Formation enthalpy at 0 K   0.1065 eV per atom

abc: 6.448 6.448 6.448
angles: 90.00 90.00 90.00
Space group F-43m (No. 216)
One atom of each set of equivalent atoms:
Cr 0.000 0.000 0.000 (multiplicity 4)
Fe 0.125 0.125 0.625 (multiplicity 16)
Ru 0.250 0.250 0.250 (multiplicity 4)

A plane-wave DFT calculation with GGA-PBEsol was carried out for a relaxed CrPtSe2 crystal.

Calculated values
Energy above the most stable polymorph in this dataset   0.046 eV per atom
Total energy   -6.326 eV/atom
Energy relative to the elements, uncorrected   -0.099 eV per atom

abc: 3.8251 3.8251 18.9136
angles: 90.00 90.00 120.00
Space group R3m (No. 160, hexagonal axes)
One atom of each set of equivalent atoms:
Cr 0.0000 0.0000 0.0000 (multiplicity 3)
Pt 0.0000 0.0000 0.7501 (multiplicity 3)
Se 0.0000 0.0000 0.2752 (multiplicity 3)
Se 0.0000 0.0000 0.4653 (multiplicity 3)

| no. | density of states at the Fermi level (states/eV per cell) |
| --- | --- |
| 1 | 12.04 |
| 2 | 6.45 |
| 3 | 107.95 |
| 4 | 3.94 |
| 5 | 25.10 |
| 6 | 6.42 |